[1]
In2CoBr | PBE | relaxed

Summary:
uncorrected formation energy = 559 meV per atom
DFT total energy = -12.019 eV per formula unit
D(E_F) = 9.2 states/eV/cell

Structure (extended XYZ):
```
4
Lattice="0.000 3.597 3.597 3.597 0.000 3.597 3.597 3.597 0.000" Properties=species:S:1:pos:R:3 pbc="T T T"
In 0.000 0.000 0.000
In 1.798 1.798 1.798
Co 3.597 3.597 3.597
Br 5.395 5.395 5.395
```

***

[2]
InCo3Br | PBE | relaxed

Summary:
uncorrected formation energy = 974 meV per atom
DFT total energy = -20.859 eV per formula unit
D(E_F) = 6.6 states/eV/cell

Structure (extended XYZ):
```
5
Lattice="4.390 0.000 0.000 0.000 4.390 0.000 0.000 0.000 4.390" Properties=species:S:1:pos:R:3 pbc="T T T"
In 0.000 0.000 0.000
Co 0.000 2.195 2.195
Co 2.195 0.000 2.195
Co 2.195 2.195 0.000
Br 2.195 2.195 2.195
```

***

[3]
In3CoBr | PBE | relaxed

Summary:
uncorrected formation energy = 923 meV per atom
DFT total energy = -12.378 eV per formula unit
D(E_F) = 2.9 states/eV/cell

Structure (extended XYZ):
```
5
Lattice="5.884 0.000 0.000 0.000 5.884 0.000 0.000 0.000 5.884" Properties=species:S:1:pos:R:3 pbc="T T T"
In 0.000 0.000 2.942
In 0.000 2.942 0.000
In 2.942 0.000 0.000
Co 2.942 2.942 2.942
Br 0.000 0.000 0.000
```

***

[4]
In2CoBr | PBE | relaxed

Summary:
uncorrected formation energy = 5 meV per atom
DFT total energy = -14.234 eV per formula unit
D(E_F) = 1.8 states/eV/cell

Structure (extended XYZ):
```
4
Lattice="3.275 0.000 0.000 0.000 3.289 0.000 -0.021 0.000 7.996" Properties=species:S:1:pos:R:3 pbc="T T T"
In 0.002 0.000 1.517
In 3.252 0.000 6.479
Co 1.638 1.645 0.000
Br -0.011 1.645 3.998
```

***

[5]
In2CoBr | PBE | relaxed

Summary:
uncorrected formation energy = 216 meV per atom
DFT total energy = -13.391 eV per formula unit
D(E_F) = 4.0 states/eV/cell

Structure (extended XYZ):
```
4
Lattice="1.986 -2.615 0.000 1.986 2.615 0.000 0.000 0.000 8.985" Properties=species:S:1:pos:R:3 pbc="T T T"
In 0.000 0.000 0.000
In 1.986 0.000 2.600
Co 0.000 0.000 4.429
Br 1.986 0.000 5.906
```

***

[6]
In2CoBr | PBE | relaxed

Summary:
uncorrected formation energy = 493 meV per atom
DFT total energy = -12.283 eV per formula unit
D(E_F) = 4.4 states/eV/cell

Structure (extended XYZ):
```
4
Lattice="0.000 3.713 3.713 3.713 0.000 3.713 3.713 3.713 0.000" Properties=species:S:1:pos:R:3 pbc="T T T"
In 1.857 1.857 1.857
In 5.570 5.570 5.570
Co 0.000 0.000 0.000
Br 3.713 3.713 3.713
```